No. 1
Density functional theory data (PBE) for a relaxed structure of PrMgAlTl.

Calculated values
DOS at the Fermi energy = 2.54 states/eV/cell
Space group = No. 216
Calculated formation energy = -176 meV per atom
Total DFT energy (no corrections) = -13.187 eV for the cell shown
Magnetization = 0.000 μB/f.u.

abc: 5.2337 5.2337 5.2337
angles: 60.00 60.00 60.00
Fractional coordinates of all 4 atoms:
Pr 0.2500 0.2500 0.2500
Al 0.5000 0.5000 0.5000
Mg 0.7500 0.7500 0.7500
Tl 0.0000 0.0000 0.0000

***

No. 2
Density functional theory data (PBE) for a relaxed structure of CdRh2.

Calculated values
DOS at the Fermi energy = 8.14 states/eV/cell
Space group = No. 63
Calculated formation energy = 53 meV per atom
Total DFT energy (no corrections) = -30.918 eV for the cell shown
Magnetization = 0.931 μB/f.u.

abc: 6.4278 6.4278 4.0143
angles: 90.00 90.00 144.67
Fractional coordinates of all 6 atoms:
Cd 0.9150 0.0850 0.7500
Cd 0.0850 0.9150 0.2500
Rh 0.7512 0.2488 0.2500
Rh 0.5901 0.4099 0.7500
Rh 0.4099 0.5901 0.2500
Rh 0.2488 0.7512 0.7500

***

No. 3
Density functional theory data (PBE) for a relaxed structure of PrCuSO.

Calculated values
DOS at the Fermi energy = 0.00 states/eV/cell
Space group = No. 129
Uncorrected formation energy = -1.9473 eV per atom
Total DFT energy (no corrections) = -51.501 eV for the cell shown
Magnetization = 0.000 μB/f.u.

abc: 3.9693 3.9693 8.4962
angles: 90.00 90.00 90.00
Fractional coordinates of all 8 atoms:
Cu 0.0000 0.0000 0.5000
Cu 0.5000 0.5000 0.5000
Pr 0.0000 0.5000 0.8529
Pr 0.5000 0.0000 0.1471
O 0.0000 0.0000 0.0000
O 0.5000 0.5000 0.0000
S 0.0000 0.5000 0.3371
S 0.5000 0.0000 0.6629

***

No. 4
Density functional theory data (PBE) for a relaxed structure of ErCd2Pd8.

Calculated values
DOS at the Fermi energy = 3.65 states/eV/cell
Space group = No. 12
Calculated formation energy = -487 meV per atom
Total DFT energy (no corrections) = -53.294 eV for the cell shown
Energy above the lowest structure with this stoichiometry = 0.0 meV/atom
Magnetization = 0.000 μB/f.u.

abc: 4.1452 6.3940 7.5512
angles: 104.89 105.93 90.00
Fractional coordinates of all 11 atoms:
Pd 0.3190 0.0886 0.6381
Pd 0.1378 0.1829 0.2756
Pd 0.6810 0.9114 0.3619
Pd 0.9580 0.2781 0.9161
Pd 0.4088 0.5399 0.8176
Pd 0.8622 0.8171 0.7244
Pd 0.5912 0.4601 0.1824
Pd 0.0420 0.7219 0.0839
Er 0.5000 0.0000 0.0000
Cd 0.2248 0.6474 0.4495
Cd 0.7752 0.3526 0.5505

***

No. 5
Density functional theory data (PBE) for a relaxed structure of TbEr2Tl2.

Calculated values
DOS at the Fermi energy = 6.65 states/eV/cell
Space group = No. 2
Calculated formation energy = -275 meV per atom
Total DFT energy (no corrections) = -39.731 eV for the cell shown
Energy above the lowest structure with this stoichiometry = 0.0 meV/atom
Magnetization = 0.000 μB/f.u.

abc: 5.2259 6.6633 9.9544
angles: 62.42 74.76 66.74
Fractional coordinates of all 10 atoms:
Er 0.9355 0.7758 0.8549
Er 0.0645 0.2242 0.1451
Er 0.5640 0.7243 0.6450
Er 0.4360 0.2757 0.3550
Tl 0.8673 0.2250 0.5445
Tl 0.3667 0.7245 0.0447
Tl 0.6333 0.2755 0.9553
Tl 0.1327 0.7750 0.4555
Tb 0.7497 0.7502 0.2498
Tb 0.2503 0.2498 0.7502

***

No. 6
Density functional theory data (PBE) for a relaxed structure of Rb3CdI6.

Calculated values
DOS at the Fermi energy = 13.81 states/eV/cell
Space group = No. 225
Uncorrected formation energy = -0.9102 eV per atom
Total DFT energy (no corrections) = -22.221 eV for the cell shown
Energy above the lowest structure with this stoichiometry = 147.6 meV/atom
Magnetization = 0.000 μB/f.u.

abc: 9.0777 9.0777 9.0793
angles: 60.01 60.01 90.00
Fractional coordinates of all 10 atoms:
Rb 0.5000 0.5000 0.0000
Rb 0.7500 0.2500 0.5000
Rb 0.2500 0.7500 0.5000
I 0.2312 0.2312 0.0000
I 0.2312 0.2312 0.5376
I 0.7688 0.7688 0.4624
I 0.2312 0.7688 0.0000
I 0.7688 0.2312 0.0000
I 0.7688 0.7688 0.0000
Cd 0.0000 0.0000 0.0000

***

No. 7
Density functional theory data (PBE) for a relaxed structure of YNi2Mo.

Calculated values
DOS at the Fermi energy = 5.16 states/eV/cell
Space group = No. 10
Calculated formation energy = 25 meV per atom
Total DFT energy (no corrections) = -28.759 eV for the cell shown
Energy above the lowest structure with this stoichiometry = 119.7 meV/atom
Magnetization = 0.000 μB/f.u.

abc: 3.3722 2.9686 7.1560
angles: 65.40 90.00 90.00
Fractional coordinates of all 4 atoms:
Ni 0.0000 0.0539 0.9458
Ni 0.0000 0.4461 0.5542
Mo 0.5000 0.7500 0.7500
Y 0.5000 0.2500 0.2500

***

No. 8
Density functional theory data (PBE) for a relaxed structure of SmTmInGa.

Calculated values
DOS at the Fermi energy = 1.12 states/eV/cell
Space group = No. 216
Calculated formation energy = -489 meV per atom
Total DFT energy (no corrections) = -16.911 eV for the cell shown
Energy above the lowest structure with this stoichiometry = 22.3 meV/atom
Magnetization = 0.000 μB/f.u.

abc: 5.2171 5.2171 5.2171
angles: 60.00 60.00 60.00
Fractional coordinates of all 4 atoms:
In 0.7500 0.7500 0.7500
Sm 0.5000 0.5000 0.5000
Tm 0.0000 0.0000 0.0000
Ga 0.2500 0.2500 0.2500

***

Please write out number 1 again, unchanged.
Density functional theory data (PBE) for a relaxed structure of PrMgAlTl.

Calculated values
DOS at the Fermi energy = 2.54 states/eV/cell
Space group = No. 216
Calculated formation energy = -176 meV per atom
Total DFT energy (no corrections) = -13.187 eV for the cell shown
Magnetization = 0.000 μB/f.u.

abc: 5.2337 5.2337 5.2337
angles: 60.00 60.00 60.00
Fractional coordinates of all 4 atoms:
Pr 0.2500 0.2500 0.2500
Al 0.5000 0.5000 0.5000
Mg 0.7500 0.7500 0.7500
Tl 0.0000 0.0000 0.0000

***

- Among the records above, which one has the lowest DOS at the Fermi energy?
  PrCuSO